NbNiBW | GGA-PBE | optimized geometry

## Properties
The value obtained for the energy above the most stable polymorph in this dataset is 495 meV per atom. As for the space group: F-43m.

a b c (Å): 4.2438 4.2438 4.2438
angles (deg): 60.00 60.00 60.00
Atoms (fractional coordinates):
W 0.5000 0.5000 0.5000
Ni 0.7500 0.7500 0.7500
B 0.0000 0.0000 0.0000
Nb 0.2500 0.2500 0.2500

YNbNiB | GGA-PBE | optimized geometry

## Properties
The value obtained for the energy above the most stable polymorph in this dataset is 546 meV per atom. As for the space group: F-43m.

a b c (Å): 4.4459 4.4459 4.4459
angles (deg): 60.00 60.00 60.00
Atoms (fractional coordinates):
Y 0.5000 0.5000 0.5000
Ni 0.7500 0.7500 0.7500
B 0.0000 0.0000 0.0000
Nb 0.2500 0.2500 0.2500

YNbNiB | GGA-PBE | optimized geometry

## Properties
The value obtained for the energy above the most stable polymorph in this dataset is 0 meV per atom. As for the space group: F-43m.

a b c (Å): 4.4582 4.4582 4.4582
angles (deg): 60.00 60.00 60.00
Each line ends with the local moment (μB).
Atoms (fractional coordinates):
B 0.0000 0.0000 0.0000  0.00
Ni 0.5000 0.5000 0.5000  0.31
Nb 0.7500 0.7500 0.7500  0.65
Y 0.2500 0.2500 0.2500  0.10

Nb2BO4 | GGA-PBE | optimized geometry

## Properties
As for the space group: Fd-3m. As for the total energy: -8.79 eV/atom.

a b c (Å): 5.7344 5.7344 5.7344
angles (deg): 120.00 90.00 120.00
Atoms (fractional coordinates):
O 0.0663 0.7109 0.3554
O 0.6446 0.2891 0.3554
O 0.6837 0.7891 0.8946
O 0.6446 0.2891 0.9337
O 0.1054 0.7891 0.8946
O 0.1054 0.2109 0.3163
O 0.1054 0.2109 0.8946
O 0.6446 0.7109 0.3554
B 0.7500 0.5000 0.2500
B 0.0000 0.0000 0.0000
Nb 0.3750 0.7500 0.6250
Nb 0.3750 0.7500 0.1250
Nb 0.8750 0.2500 0.6250
Nb 0.3750 0.2500 0.6250

no.,calculated volume (Å³ per atom)
1,13.5
2,15.5
3,15.7
4,9.5